Entry 1:
Entry from Alexandria via LeMat-Bulk: an optimized crystal structure of EuGa2Sn (GGA-PBE).

Computed properties:
Distance to the lowest polymorph of the same formula: 0.1152 eV per atom
Magnetization: 7.00 μB per formula unit
Energy relative to the elements: -29 kJ/mol of atoms

a = 5.1571 Å, b = 5.1571 Å, c = 5.1571 Å
α = 60.00°, β = 60.00°, γ = 60.00°
Fractional coordinates of all 4 atoms:
Ga1 0.7500 0.7500 0.7500
Ga2 0.2500 0.2500 0.2500
Sn1 0.5000 0.5000 0.5000
Eu1 0.0000 0.0000 0.0000

Entry 2:
Entry from Alexandria via LeMat-Bulk: an optimized crystal structure of EuGaSn (GGA-PBE).

Computed properties:
Magnetization: 7.09 μB per formula unit
Energy relative to the elements: -24 kJ/mol of atoms

a = 4.2936 Å, b = 4.2936 Å, c = 5.4980 Å
α = 112.98°, β = 112.98°, γ = 90.00°
Fractional coordinates of all 3 atoms:
Eu1 0.9464 0.9464 0.8927
Sn1 0.2902 0.2902 0.5805
Ga1 0.6134 0.6134 0.2268

Entry 3:
Entry from Alexandria via LeMat-Bulk: an optimized crystal structure of Eu2GaSn (GGA-PBE).

Computed properties:
Magnetization: 14.59 μB per formula unit
Energy relative to the elements: -33 kJ/mol of atoms

a = 3.7970 Å, b = 3.7970 Å, c = 10.0396 Å
α = 79.10°, β = 79.10°, γ = 60.00°
Fractional coordinates of all 4 atoms:
Ga1 0.0000 0.0000 0.0000
Sn1 0.5000 0.5000 0.5000
Eu1 0.2537 0.2537 0.2389
Eu2 0.7463 0.7463 0.7611

Entry 4:
Entry from Alexandria via LeMat-Bulk: an optimized crystal structure of EuGa2Sn (GGA-PBE).

Computed properties:
Distance to the lowest polymorph of the same formula: 0.0000 eV per atom
Magnetization: 6.92 μB per formula unit
Energy relative to the elements: -40 kJ/mol of atoms

a = 4.4697 Å, b = 4.5483 Å, c = 4.5483 Å
α = 90.00°, β = 90.00°, γ = 90.00°
Fractional coordinates of all 4 atoms:
Ga1 0.0000 0.0000 0.5000
Sn1 0.5000 0.0000 0.0000
Ga2 0.0000 0.5000 0.0000
Eu1 0.5000 0.5000 0.5000

Entry 5:
Entry from Alexandria via LeMat-Bulk: an optimized crystal structure of SrEuGaSn (GGA-PBE).

Computed properties:
Magnetization: 7.17 μB per formula unit
Energy relative to the elements: -49 kJ/mol of atoms

a = 5.5517 Å, b = 5.5517 Å, c = 5.5517 Å
α = 60.00°, β = 60.00°, γ = 60.00°
Fractional coordinates of all 4 atoms:
Sn1 0.2500 0.2500 0.2500
Eu1 0.0000 0.0000 0.0000
Ga1 0.7500 0.7500 0.7500
Sr1 0.5000 0.5000 0.5000

Entry 6:
Entry from Alexandria via LeMat-Bulk: an optimized crystal structure of EuThGaSn (GGA-PBE).

Computed properties:
Magnetization: 7.15 μB per formula unit
Energy relative to the elements: -40 kJ/mol of atoms

a = 5.3872 Å, b = 5.3872 Å, c = 5.3872 Å
α = 60.00°, β = 60.00°, γ = 60.00°
Fractional coordinates of all 4 atoms:
Sn1 0.7500 0.7500 0.7500
Ga1 0.2500 0.2500 0.2500
Th1 0.5000 0.5000 0.5000
Eu1 0.0000 0.0000 0.0000

Entry 7:
Entry from Alexandria via LeMat-Bulk: an optimized crystal structure of EuTlGaSn (GGA-PBE).

Computed properties:
Magnetization: 7.10 μB per formula unit
Energy relative to the elements: -25 kJ/mol of atoms

a = 5.3729 Å, b = 5.3729 Å, c = 5.3729 Å
α = 60.00°, β = 60.00°, γ = 60.00°
Fractional coordinates of all 4 atoms:
Sn1 0.2500 0.2500 0.2500
Eu1 0.7500 0.7500 0.7500
Ga1 0.5000 0.5000 0.5000
Tl1 0.0000 0.0000 0.0000

Entry 8:
Entry from Alexandria via LeMat-Bulk: an optimized crystal structure of EuZnGaSn (GGA-PBE).

Computed properties:
Magnetization: 6.73 μB per formula unit
Energy relative to the elements: -26 kJ/mol of atoms

a = 5.0929 Å, b = 5.0929 Å, c = 5.0929 Å
α = 60.00°, β = 60.00°, γ = 60.00°
Fractional coordinates of all 4 atoms:
Sn1 0.2500 0.2500 0.2500
Zn1 0.5000 0.5000 0.5000
Eu1 0.7500 0.7500 0.7500
Ga1 0.0000 0.0000 0.0000

Entry 9:
Entry from Alexandria via LeMat-Bulk: an optimized crystal structure of SrEuGa4 (GGA-PBE).

Computed properties:
Magnetization: 7.26 μB per formula unit
Energy relative to the elements: -43 kJ/mol of atoms

a = 5.7545 Å, b = 5.7545 Å, c = 5.7545 Å
α = 60.00°, β = 60.00°, γ = 60.00°
Fractional coordinates of all 6 atoms:
Ga1 0.1263 0.6246 0.6246
Eu1 0.2500 0.2500 0.2500
Ga2 0.6246 0.6246 0.6246
Sr1 0.0000 0.0000 0.0000
Ga3 0.6246 0.1263 0.6246
Ga4 0.6246 0.6246 0.1263

Entry 10:
Entry from Alexandria via LeMat-Bulk: an optimized crystal structure of SrEu3Ga (GGA-PBE).

Computed properties:
Magnetization: 22.98 μB per formula unit
Energy relative to the elements: -6 kJ/mol of atoms

a = 6.0475 Å, b = 6.0475 Å, c = 6.0475 Å
α = 90.00°, β = 90.00°, γ = 90.00°
Fractional coordinates of all 5 atoms:
Ga1 0.0000 0.0000 0.0000
Sr1 0.5000 0.5000 0.5000
Eu1 0.0000 0.0000 0.5000
Eu2 0.0000 0.5000 0.0000
Eu3 0.5000 0.0000 0.0000

Entry 11:
Entry from Alexandria via LeMat-Bulk: an optimized crystal structure of SrEuGa2 (GGA-PBE).

Computed properties:
Magnetization: 6.98 μB per formula unit
Energy relative to the elements: -40 kJ/mol of atoms

a = 3.8492 Å, b = 3.8492 Å, c = 7.5921 Å
α = 90.00°, β = 90.00°, γ = 90.00°
Fractional coordinates of all 4 atoms:
Ga1 0.0000 0.0000 0.2270
Ga2 0.0000 0.0000 0.7730
Eu1 0.5000 0.5000 0.0000
Sr1 0.5000 0.5000 0.5000

Entry 12:
Entry from Alexandria via LeMat-Bulk: an optimized crystal structure of SrEuZnGa (GGA-PBE).

Computed properties:
Magnetization: 6.92 μB per formula unit
Energy relative to the elements: -31 kJ/mol of atoms

a = 5.4103 Å, b = 5.4103 Å, c = 5.4103 Å
α = 60.00°, β = 60.00°, γ = 60.00°
Fractional coordinates of all 4 atoms:
Sr1 0.5000 0.5000 0.5000
Ga1 0.2500 0.2500 0.2500
Eu1 0.0000 0.0000 0.0000
Zn1 0.7500 0.7500 0.7500

Entry 13:
Entry from Alexandria via LeMat-Bulk: an optimized crystal structure of TbEuGa (GGA-PBE).

Computed properties:
Distance to the lowest polymorph of the same formula: 0.1402 eV per atom
Magnetization: 7.35 μB per formula unit
Energy relative to the elements: -17 kJ/mol of atoms

a = 5.1138 Å, b = 5.1138 Å, c = 5.1138 Å
α = 60.00°, β = 60.00°, γ = 60.00°
Fractional coordinates of all 3 atoms:
Eu1 0.5000 0.5000 0.5000
Tb1 0.0000 0.0000 0.0000
Ga1 0.2500 0.2500 0.2500

Entry 14:
Entry from Alexandria via LeMat-Bulk: an optimized crystal structure of TbEuGa (GGA-PBE).

Computed properties:
Distance to the lowest polymorph of the same formula: 0.1026 eV per atom
Magnetization: 7.11 μB per formula unit
Energy relative to the elements: -21 kJ/mol of atoms

a = 3.7767 Å, b = 5.0834 Å, c = 5.0834 Å
α = 120.00°, β = 90.00°, γ = 90.00°
Fractional coordinates of all 3 atoms:
Eu1 0.9726 0.0000 0.0000
Tb1 0.4161 0.3333 0.6667
Ga1 0.6113 0.6667 0.3333

Entry 15:
Entry from Alexandria via LeMat-Bulk: an optimized crystal structure of TbEuGa (GGA-PBE).

Computed properties:
Distance to the lowest polymorph of the same formula: 0.0000 eV per atom
Magnetization: 7.33 μB per formula unit
Energy relative to the elements: -31 kJ/mol of atoms

a = 3.7012 Å, b = 3.7012 Å, c = 6.9066 Å
α = 105.54°, β = 105.54°, γ = 90.00°
Fractional coordinates of all 3 atoms:
Tb1 0.2480 0.2480 0.4960
Eu1 0.9744 0.9744 0.9489
Ga1 0.6276 0.6276 0.2551

Entry 16:
Entry from Alexandria via LeMat-Bulk: an optimized crystal structure of TbEuTlGa (GGA-PBE).

Computed properties:
Magnetization: 7.28 μB per formula unit
Energy relative to the elements: -39 kJ/mol of atoms

a = 5.3562 Å, b = 5.3562 Å, c = 5.3562 Å
α = 60.00°, β = 60.00°, γ = 60.00°
Fractional coordinates of all 4 atoms:
Eu1 0.0000 0.0000 0.0000
Ga1 0.2500 0.2500 0.2500
Tb1 0.5000 0.5000 0.5000
Tl1 0.7500 0.7500 0.7500

Entry 17:
Entry from Alexandria via LeMat-Bulk: an optimized crystal structure of TbEuZnGa (GGA-PBE).

Computed properties:
Magnetization: 7.30 μB per formula unit
Energy relative to the elements: -38 kJ/mol of atoms

a = 5.1814 Å, b = 5.1814 Å, c = 5.1814 Å
α = 60.00°, β = 60.00°, γ = 60.00°
Fractional coordinates of all 4 atoms:
Zn1 0.7500 0.7500 0.7500
Eu1 0.0000 0.0000 0.0000
Ga1 0.2500 0.2500 0.2500
Tb1 0.5000 0.5000 0.5000

Entry 18:
Entry from Alexandria via LeMat-Bulk: an optimized crystal structure of Eu2Ga4Tc (GGA-PBE).

Computed properties:
Magnetization: 14.41 μB per formula unit
Energy relative to the elements: -29 kJ/mol of atoms

a = 4.7936 Å, b = 4.7936 Å, c = 8.4338 Å
α = 73.49°, β = 73.49°, γ = 90.00°
Fractional coordinates of all 7 atoms:
Tc1 0.0000 0.0000 0.0000
Eu1 0.3591 0.3591 0.2817
Ga1 0.8395 0.8395 0.3210
Ga2 0.1605 0.1605 0.6790
Ga3 0.0000 0.5000 0.0000
Eu2 0.6409 0.6409 0.7183
Ga4 0.5000 0.0000 0.0000

Entry 19:
Entry from Alexandria via LeMat-Bulk: an optimized crystal structure of Eu3Ga5Te12 (GGA-PBE).

Computed properties:
Magnetization: 18.93 μB per formula unit
E_form (uncorrected): -1131 kJ/mol of formula units

a = 15.0945 Å, b = 15.0945 Å, c = 15.0945 Å
α = 109.47°, β = 109.47°, γ = 109.47°
Fractional coordinates of all 80 atoms:
Te1 0.2902 0.8775 0.9665
Ga1 0.0000 0.5000 0.0000
Te2 0.4665 0.7902 0.8775
Ga2 0.3750 0.2500 0.1250
Eu1 0.8750 0.1250 0.2500
Te3 0.4127 0.2902 0.3237
Ga3 0.8750 0.6250 0.7500
Ga4 0.0000 0.0000 0.5000
Te4 0.5890 0.6225 0.4127
Eu2 0.1250 0.8750 0.7500
Eu3 0.3750 0.6250 0.2500
Te5 0.6225 0.0335 0.2098
Te6 0.9127 0.8237 0.7902
Te7 0.0873 0.1763 0.2098
Ga5 0.2500 0.3750 0.6250
Te8 0.0873 0.9110 0.3775
Te9 0.4110 0.3775 0.5873
Te10 0.0890 0.9127 0.1225
Te11 0.5335 0.2098 0.1225
Te12 0.8775 0.5873 0.9110
Ga6 0.5000 0.0000 0.5000
Eu4 0.2500 0.1250 0.3750
Ga7 0.1250 0.7500 0.3750
Ga8 0.7500 0.6250 0.3750
Te13 0.5890 0.9665 0.6763
Te14 0.5873 0.7098 0.6763
Ga9 0.0000 0.5000 0.5000
Te15 0.3237 0.7902 0.4127
Ga10 0.6250 0.7500 0.8750
Ga11 0.3750 0.1250 0.7500
Eu5 0.6250 0.3750 0.7500
Eu6 0.2500 0.6250 0.8750
Ga12 0.6250 0.8750 0.2500
Ga13 0.8750 0.2500 0.6250
Te16 0.4665 0.6763 0.0890
Te17 0.1763 0.0890 0.9665
Te18 0.6225 0.5890 0.9127
Te19 0.8237 0.9110 0.0335
Ga14 0.5000 0.0000 0.0000
Eu7 0.7500 0.8750 0.6250
Te20 0.3237 0.5335 0.4110
Ga15 0.0000 0.0000 0.0000
Ga16 0.5000 0.5000 0.5000
Eu8 0.6250 0.2500 0.3750
Te21 0.3775 0.9665 0.7902
Te22 0.9665 0.3775 0.2902
Te23 0.8237 0.9127 0.2902
Te24 0.2098 0.6763 0.0873
Te25 0.0335 0.4110 0.8237
Ga17 0.5000 0.5000 0.0000
Te26 0.5873 0.8775 0.4110
Te27 0.7902 0.4665 0.3775
Eu9 0.8750 0.7500 0.1250
Te28 0.2098 0.5335 0.6225
Te29 0.6763 0.4665 0.5890
Te30 0.7098 0.5873 0.1763
Te31 0.3775 0.4110 0.0873
Te32 0.0890 0.1763 0.4665
Te33 0.4127 0.1225 0.5890
Te34 0.7902 0.3237 0.9127
Ga18 0.7500 0.1250 0.8750
Te35 0.9127 0.0890 0.6225
Eu10 0.3750 0.7500 0.6250
Te36 0.4110 0.0335 0.3237
Te37 0.9110 0.0873 0.8775
Te38 0.0335 0.6225 0.7098
Te39 0.7098 0.1225 0.0335
Te40 0.1763 0.0873 0.7098
Te41 0.5335 0.3237 0.9110
Eu11 0.1250 0.2500 0.8750
Te42 0.8775 0.2902 0.4665
Te43 0.9110 0.8237 0.5335
Te44 0.2902 0.4127 0.8237
Eu12 0.7500 0.3750 0.1250
Ga19 0.1250 0.3750 0.2500
Te45 0.1225 0.7098 0.5335
Te46 0.9665 0.5890 0.1763
Te47 0.1225 0.4127 0.0890
Ga20 0.2500 0.8750 0.1250
Te48 0.6763 0.2098 0.5873

Entry 20:
Entry from Alexandria via LeMat-Bulk: an optimized crystal structure of Eu2GaTe (GGA-PBE).

Computed properties:
Magnetization: 14.43 μB per formula unit
E_form (uncorrected): -341 kJ/mol of formula units

a = 4.0068 Å, b = 4.0068 Å, c = 7.2603 Å
α = 90.00°, β = 90.00°, γ = 90.00°
Fractional coordinates of all 4 atoms:
Ga1 0.5000 0.5000 0.0000
Te1 0.5000 0.5000 0.5000
Eu1 0.0000 0.0000 0.2446
Eu2 0.0000 0.0000 0.7554

Entry 21:
Entry from Alexandria via LeMat-Bulk: an optimized crystal structure of EuGaTe2 (GGA-PBE).

Computed properties:
Magnetization: 6.73 μB per formula unit
E_form (uncorrected): -319 kJ/mol of formula units

a = 4.3997 Å, b = 4.3997 Å, c = 7.9970 Å
α = 74.03°, β = 74.03°, γ = 60.00°
Fractional coordinates of all 4 atoms:
Eu1 0.5000 0.5000 0.5000
Te1 0.2538 0.2538 0.2385
Ga1 0.0000 0.0000 0.0000
Te2 0.7462 0.7462 0.7615

Entry 22:
Entry from Alexandria via LeMat-Bulk: an optimized crystal structure of EuGaTe (GGA-PBE).

Computed properties:
Magnetization: 7.14 μB per formula unit
E_form (uncorrected): -197 kJ/mol of formula units

a = 4.0454 Å, b = 5.0053 Å, c = 5.0053 Å
α = 120.00°, β = 90.00°, γ = 90.00°
Fractional coordinates of all 3 atoms:
Eu1 0.3339 0.3333 0.6667
Te1 0.8359 0.6667 0.3333
Ga1 0.8302 0.0000 0.0000

Entry 23:
Entry from Alexandria via LeMat-Bulk: an optimized crystal structure of EuGa2Te4 (GGA-PBE).

Computed properties:
Magnetization: 6.96 μB per formula unit
E_form (uncorrected): -487 kJ/mol of formula units

a = 6.7376 Å, b = 6.7376 Å, c = 11.6990 Å
α = 90.00°, β = 90.00°, γ = 119.44°
Fractional coordinates of all 14 atoms:
Te1 0.0000 0.5000 0.3225
Te2 0.3412 0.1951 0.5000
Ga1 0.7622 0.2410 0.5000
Ga2 0.7590 0.2378 0.0000
Te3 0.8049 0.6588 0.0000
Te4 0.5000 0.0000 0.1775
Te5 0.6588 0.8049 0.5000
Te6 0.5000 0.0000 0.8225
Ga3 0.2378 0.7590 0.5000
Te7 0.0000 0.5000 0.6775
Te8 0.1951 0.3412 0.0000
Ga4 0.2410 0.7622 0.0000
Eu1 0.5000 0.5000 0.7500
Eu2 0.5000 0.5000 0.2500

Entry 24:
Entry from Alexandria via LeMat-Bulk: an optimized crystal structure of Eu2ThGa (GGA-PBE).

Computed properties:
Magnetization: 14.14 μB per formula unit
Energy relative to the elements: -9 kJ/mol of atoms

a = 3.6213 Å, b = 3.6213 Å, c = 9.3238 Å
α = 90.00°, β = 90.00°, γ = 90.00°
Fractional coordinates of all 4 atoms:
Eu1 0.0000 0.0000 0.2074
Eu2 0.0000 0.0000 0.7926
Ga1 0.5000 0.5000 0.0000
Th1 0.5000 0.5000 0.5000

Entry 25:
Entry from Alexandria via LeMat-Bulk: an optimized crystal structure of EuThGa (GGA-PBE).

Computed properties:
Distance to the lowest polymorph of the same formula: 0.1177 eV per atom
Magnetization: 7.19 μB per formula unit
Energy relative to the elements: -7 kJ/mol of atoms

a = 3.7254 Å, b = 5.0923 Å, c = 5.0923 Å
α = 120.00°, β = 90.00°, γ = 90.00°
Fractional coordinates of all 3 atoms:
Eu1 0.9656 0.0000 0.0000
Ga1 0.6535 0.6667 0.3333
Th1 0.3809 0.3333 0.6667